Density functional theory data (PBE-GGA) for a geometry-optimized Sc3SbC structure.

The space group is Amm2 (No. 38) and the conventional cell measures 3.257, 6.250 and 14.677 Å, with angles of 90.00, 90.00 and 90.00 degrees. The distinct sites, in fractional coordinates, are Sc at (0.000, 0.000, 0.000), Sc at (0.500, 0.238, 0.833), Sb at (0.500, 0.000, 0.168) and C at (0.000, 0.000, 0.854).

As for the magnetization: 0.07 μB/f.u. As for the crystal system: orthorhombic. For the formation energy without anion corrections, the calculation gives -0.049 eV per atom.